Entry 1:
# SmAlGaRh2 PBE optimized geometry
# Size of the total moment (μB/cell): 0.00
# Crystal system: orthorhombic
# Density of states at the Fermi level (states/eV/atom): 0.60
# Total energy (eV for the cell shown): -118.39
# Calculated formation energy (eV per atom): -0.6812
data_SmAlGaRh2
_cell_length_a 4.411
_cell_length_b 13.454
_cell_length_c 6.514
_cell_angle_alpha 90.00
_cell_angle_beta 90.00
_cell_angle_gamma 90.00
_space_group_name_H-M_alt 'C m c m'
_space_group_IT_number 63
_space_group_name_Hall '-C 2c 2'
loop_
_atom_site_label
_atom_site_type_symbol
_atom_site_fract_x
_atom_site_fract_y
_atom_site_fract_z
_atom_site_occupancy
Sm1 Sm 0.000 0.123 0.250 1
Al1 Al 0.000 0.185 0.750 1
Ga1 Ga 0.000 0.500 0.000 1
Rh1 Rh 0.000 0.321 0.035 1

---

Entry 2:
# K3H2Br3 PBE optimized geometry
# Size of the total moment (μB/cell): 0.00
# Crystal system: triclinic
# Density of states at the Fermi level (states/eV/atom): 0.00
# Total energy (eV for the cell shown): -25.36
data_K3H2Br3
_cell_length_a 4.664
_cell_length_b 4.669
_cell_length_c 12.226
_cell_angle_alpha 79.78
_cell_angle_beta 82.07
_cell_angle_gamma 89.85
_space_group_name_H-M_alt 'P -1'
_space_group_IT_number 2
loop_
_space_group_symop_operation_xyz
'x,y,z'
'-x,-y,-z'
loop_
_atom_site_label
_atom_site_type_symbol
_atom_site_fract_x
_atom_site_fract_y
_atom_site_fract_z
_atom_site_occupancy
K1 K 0.000 0.000 0.000 1
K2 K 0.404 0.373 0.277 1
H1 H 0.444 0.450 0.520 1
Br1 Br 0.095 0.126 0.719 1
Br2 Br 0.500 0.500 0.000 1

---

Entry 3:
# TcNiSe2Br PBE optimized geometry
# Formation energy without anion corrections (kJ/mol of atoms): 70.5
# Size of the total moment (μB/cell): 1.11
# Crystal system: tetragonal
# Density of states at the Fermi level (states/eV/atom): 1.89
# Total energy (eV for the cell shown): -21.13
data_TcNiSe2Br
_cell_length_a 4.755
_cell_length_b 4.755
_cell_length_c 5.418
_cell_angle_alpha 90.00
_cell_angle_beta 90.00
_cell_angle_gamma 90.00
_space_group_name_H-M_alt 'P 4/m m m'
_space_group_IT_number 123
_space_group_name_Hall '-P 4 2'
loop_
_atom_site_label
_atom_site_type_symbol
_atom_site_fract_x
_atom_site_fract_y
_atom_site_fract_z
_atom_site_occupancy
Tc1 Tc 0.000 0.000 0.000 1
Ni1 Ni 0.500 0.500 0.500 1
Se1 Se 0.000 0.500 0.000 1
Br1 Br 0.000 0.000 0.500 1

---

Entry 4:
# SrHf2CO PBE optimized geometry
# Formation energy without anion corrections (kJ/mol of atoms): 11.1
# Size of the total moment (μB/cell): 0.00
# Crystal system: tetragonal
# Density of states at the Fermi level (states/eV/atom): 0.80
# Total energy (eV for the cell shown): -35.20
data_SrHf2CO
_cell_length_a 4.242
_cell_length_b 4.242
_cell_length_c 5.110
_cell_angle_alpha 90.00
_cell_angle_beta 90.00
_cell_angle_gamma 90.00
_space_group_name_H-M_alt 'P 4/m m m'
_space_group_IT_number 123
_space_group_name_Hall '-P 4 2'
loop_
_atom_site_label
_atom_site_type_symbol
_atom_site_fract_x
_atom_site_fract_y
_atom_site_fract_z
_atom_site_occupancy
Sr1 Sr 0.000 0.000 0.000 1
Hf1 Hf 0.000 0.500 0.500 1
C1 C 0.500 0.500 0.000 1
O1 O 0.000 0.000 0.500 1

---

Entry 5:
# SmErLuHg PBE optimized geometry
# Size of the total moment (μB/cell): 0.13
# Crystal system: cubic
# Density of states at the Fermi level (states/eV/atom): 1.28
# Total energy (eV for the cell shown): -57.43
# Calculated formation energy (eV per atom): -0.0634
data_SmErLuHg
_cell_length_a 7.631
_cell_length_b 7.631
_cell_length_c 7.631
_cell_angle_alpha 90.00
_cell_angle_beta 90.00
_cell_angle_gamma 90.00
_space_group_name_H-M_alt 'F -4 3 m'
_space_group_IT_number 216
_space_group_name_Hall 'F -4 2 3'
loop_
_atom_site_label
_atom_site_type_symbol
_atom_site_fract_x
_atom_site_fract_y
_atom_site_fract_z
_atom_site_occupancy
Sm1 Sm 0.000 0.000 0.000 1
Er1 Er 0.000 0.000 0.500 1
Lu1 Lu 0.250 0.250 0.250 1
Hg1 Hg 0.250 0.250 0.750 1

---

Entry 6:
# Ac2HfCoS6 PBE optimized geometry
# Formation energy without anion corrections (kJ/mol of atoms): -141.0
# Size of the total moment (μB/cell): 2.00
# Crystal system: orthorhombic
# Density of states at the Fermi level (states/eV/atom): 0.20
# Total energy (eV for the cell shown): -129.30
data_Ac2HfCoS6
_cell_length_a 6.733
_cell_length_b 6.734
_cell_length_c 9.465
_cell_angle_alpha 90.00
_cell_angle_beta 90.00
_cell_angle_gamma 90.00
_space_group_name_H-M_alt 'I m m m'
_space_group_IT_number 71
_space_group_name_Hall '-I 2 2'
loop_
_atom_site_label
_atom_site_type_symbol
_atom_site_fract_x
_atom_site_fract_y
_atom_site_fract_z
_atom_site_occupancy
Ac1 Ac 0.000 0.000 0.249 1
Hf1 Hf 0.000 0.500 0.000 1
Co1 Co 0.000 0.500 0.500 1
S1 S 0.000 0.500 0.260 1
S2 S 0.241 0.260 0.500 1